# 1
A plane-wave DFT calculation with PBE-GGA was carried out for a geometry-optimized Ba2Ge3Pt12Rh structure.

The structure belongs to space group R-3m (No. 166, hexagonal axes); the cell edges are 8.3260, 8.3260 and 19.7475 Å and the angles 90.00°, 90.00° and 120.00°. The inequivalent atoms are Ba at (0.0000, 0.0000, 0.1176), Ge at (0.0000, 0.5000, 0.0000), Pt at (0.0056, 0.5028, 0.1221), Pt at (0.0301, 0.5151, 0.3717) and Rh at (0.0000, 0.0000, 0.5000).

The density of states at the Fermi level comes out at 16.3 states/eV/f.u. The electronic total energy is -5.50 eV/atom.

# 2
A plane-wave DFT calculation with PBE-GGA was carried out for a geometry-optimized BaGeSbPt6 structure.

The structure belongs to space group Imma (No. 74); the cell edges are 6.9650, 8.4425 and 14.4704 Å and the angles 90.00°, 90.00° and 90.00°. The inequivalent atoms are Ba at (0.0000, 0.2500, 0.0975), Ge at (0.2500, 0.2500, 0.7500), Sb at (0.0000, 0.0000, 0.5000), Pt at (0.0000, 0.2500, 0.3823), Pt at (0.0000, 0.2500, 0.8669) and Pt at (0.2034, 0.0213, 0.6522).

The energy relative to the elements, uncorrected is -0.242 eV/atom. The density of states at the Fermi level comes out at 4.3 states/eV/f.u. The electronic total energy is -5.45 eV/atom.

# 3
A plane-wave DFT calculation with PBE-GGA was carried out for a geometry-optimized Ba2Ge3SbPt4 structure.

The structure belongs to space group P-4m2 (No. 115); the cell edges are 4.6503, 4.6503 and 10.3003 Å and the angles 90.00°, 90.00° and 90.00°. The inequivalent atoms are Ba at (0.0000, 0.5000, 0.2463), Ge at (0.0000, 0.5000, 0.8855), Ge at (0.5000, 0.5000, 0.5000), Sb at (0.0000, 0.0000, 0.5000), Pt at (0.0000, 0.0000, 0.0000), Pt at (0.0000, 0.5000, 0.6314) and Pt at (0.5000, 0.5000, 0.0000).

The energy relative to the elements, uncorrected is -0.757 eV/atom. The density of states at the Fermi level comes out at 5.0 states/eV/f.u. The electronic total energy is -5.36 eV/atom.

# 4
A plane-wave DFT calculation with PBE-GGA was carried out for a geometry-optimized BaGePt2Se structure.

The structure belongs to space group P4/mmm (No. 123); the cell edges are 5.3031, 5.3031 and 6.1096 Å and the angles 90.00°, 90.00° and 90.00°. The inequivalent atoms are Ba at (0.0000, 0.0000, 0.0000), Ge at (0.0000, 0.0000, 0.5000), Pt at (0.0000, 0.5000, 0.0000) and Se at (0.5000, 0.5000, 0.5000).

The energy relative to the elements, uncorrected is 1.542 eV/atom. The density of states at the Fermi level comes out at 3.8 states/eV/f.u. The electronic total energy is -2.88 eV/atom.

# 5
A plane-wave DFT calculation with PBE-GGA was carried out for a geometry-optimized BaSi6GePt2 structure.

The structure belongs to space group R-3m (No. 166, hexagonal axes); the cell edges are 4.8593, 4.8593 and 33.1601 Å and the angles 90.00°, 90.00° and 120.00°. The inequivalent atoms are Ba at (0.0000, 0.0000, 0.0000), Si at (0.0024, 0.5012, 0.7660), Ge at (0.0000, 0.0000, 0.5000) and Pt at (0.0000, 0.0000, 0.2610).

The energy relative to the elements, uncorrected is 0.046 eV/atom. The density of states at the Fermi level comes out at 6.1 states/eV/f.u. The electronic total energy is -5.07 eV/atom.

# 6
A plane-wave DFT calculation with PBE-GGA was carried out for a geometry-optimized BaSiGePt6 structure.

The structure belongs to space group Imma (No. 74); the cell edges are 7.9650, 8.3147 and 11.5688 Å and the angles 90.00°, 90.00° and 90.00°. The inequivalent atoms are Ba at (0.0000, 0.2500, 0.1396), Si at (0.0000, 0.0000, 0.5000), Ge at (0.2500, 0.2500, 0.7500), Pt at (0.0000, 0.2500, 0.4050), Pt at (0.0000, 0.2500, 0.8693) and Pt at (0.2327, 0.0190, 0.6219).

The energy relative to the elements, uncorrected is -0.374 eV/atom. The density of states at the Fermi level comes out at 3.0 states/eV/f.u. The electronic total energy is -5.73 eV/atom.

Number 1: total magnetization 0.5 μB per formula unit. Number 2: total magnetization 0.0 μB per formula unit. Number 3: total magnetization 0.0 μB per formula unit. Number 4: total magnetization 0.0 μB per formula unit. Number 5: total magnetization 0.0 μB per formula unit. Number 6: total magnetization 0.0 μB per formula unit.